No. 1
VASP calculation (meta-GGA SCAN) on a crystal of ScZnPb2 relaxed with PBEsol.

Computed properties:
E = -44.9752 eV/atom
spin magnetization = 0.0 μB per formula unit
energy of formation from the pure elements = -147 meV per atom

abc: 3.4949 4.2859 6.1859
angles: 90.00 90.00 90.00
Closest atoms and distances in Å follow each position.
Fractional coordinates of all 4 atoms:
1 Pb 0.0000 0.0000 0.9762  2 Sc 2.95-3.23, 4 Zn 3.12
2 Sc 0.0000 0.0000 0.4987  6 Pb 2.95-3.23, 4 Zn 3.15
3 Pb 0.5000 0.5000 0.2819  1 Zn 2.85, 4 Sc 3.07
4 Zn 0.5000 0.5000 0.7432  5 Pb 2.85-3.12, 4 Sc 3.15



No. 2
VASP calculation (meta-GGA SCAN) on a crystal of ScZn2Pb relaxed with PBEsol.

Computed properties:
E = -29.5771 eV/atom
spin magnetization = 0.0 μB per formula unit
energy of formation from the pure elements = -315 meV per atom

abc: 4.1831 4.1831 4.2697
angles: 90.00 90.00 90.00
Closest atoms and distances in Å follow each position.
Fractional coordinates of all 4 atoms:
1 Sc 0.5000 0.5000 0.5000  4 Pb 2.96, 8 Zn 2.99
2 Zn 0.5000 0.0000 0.0000  4 Zn 2.96, 4 Pb 2.99, 4 Sc 2.99
3 Zn 0.0000 0.5000 0.0000  4 Zn 2.96, 4 Pb 2.99, 4 Sc 2.99
4 Pb 0.0000 0.0000 0.5000  4 Sc 2.96, 8 Zn 2.99



No. 3
VASP calculation (meta-GGA SCAN) on a crystal of ScZn2Pb relaxed with PBEsol.

Computed properties:
E = -29.4210 eV/atom
spin magnetization = 0.0 μB per formula unit
energy of formation from the pure elements = -159 meV per atom

abc: 3.3537 4.2579 5.6472
angles: 90.00 101.16 90.00
Closest atoms and distances in Å follow each position.
Fractional coordinates of all 4 atoms:
1 Pb 0.5385 0.0000 0.4724  6 Zn 2.89-3.13, 2 Sc 3.10
2 Zn 0.8213 0.0000 0.9914  2 Zn 2.53
3 Sc 0.2412 0.5000 0.7982  7 Zn 2.88-3.15, 2 Pb 3.10
4 Zn 0.8990 0.5000 0.2380  2 Zn 2.53



No. 4
VASP calculation (meta-GGA SCAN) on a crystal of ZrScPb relaxed with PBEsol.

Computed properties:
E = -40.6125 eV/atom
spin magnetization = 0.0 μB per formula unit
energy of formation from the pure elements = -374 meV per atom

abc: 3.4085 3.9523 5.6499
angles: 110.47 107.56 90.00
Closest atoms and distances in Å follow each position.
Fractional coordinates of all 3 atoms:
1 Pb 0.0010 0.0010 0.0020  5 Sc 3.08-3.37, 5 Zr 3.10-3.34, 2 Pb 3.41
2 Zr 0.3343 0.3343 0.6685  5 Pb 3.10-3.34, 5 Sc 3.11-3.31, 2 Zr 3.41
3 Sc 0.6647 0.6647 0.3294  5 Pb 3.08-3.37, 5 Zr 3.11-3.31, 2 Sc 3.41